CdInSe, optimized geometry, DFT PBE-GGA; raw formation energy = -0.05 eV/atom; SG = F-43m; total magnetic moment = 0.00 μB per atom; mass density = 5742 kg/m³; D(E_F) = 1.8 states/eV/cell
1.0
0.000 3.538 3.538
3.538 0.000 3.538
3.538 3.538 0.000
Cd In Se
1 1 1
Direct
0.000 0.000 0.000 Cd
0.500 0.500 0.500 In
0.250 0.250 0.250 Se